Record 1
Material: K2BeNi
Method: DFT, SCAN
State: single point on PBEsol structure

Lattice parameters (Å, degrees): 6.194 6.194 6.194 145.27 127.61 64.39
Fractional positions:
1 K 0.000 0.000 0.000
2 K 0.695 0.195 0.500
3 Be 0.390 0.390 0.000
4 Ni 0.308 0.808 0.500

Calculated values
* crystal system: orthorhombic
* formation energy: 561 meV/atom
* magnetic moment: 0.0 μB per cell

Record 2
Material: RbSb2P2
Method: DFT, SCAN
State: single point on PBEsol structure

Lattice parameters (Å, degrees): 7.168 7.168 7.168 143.48 143.48 52.61
Fractional positions:
1 Rb 0.000 0.000 0.000
2 Sb 0.250 0.750 0.500
3 Sb 0.750 0.250 0.500
4 P 0.419 0.419 0.000
5 P 0.581 0.581 0.000

Calculated values
* crystal system: tetragonal
* E above lowest polymorph: 0.00 eV/f.u.
* magnetic moment: 0.0 μB per cell

Record 3
Material: La2C3
Method: DFT, SCAN
State: single point on PBEsol structure

Lattice parameters (Å, degrees): 7.534 7.534 7.534 109.47 109.47 109.47
Fractional positions:
1 La 0.000 0.105 0.500
2 La 0.000 0.605 0.500
3 La 0.105 0.500 0.000
4 La 0.395 0.395 0.395
5 La 0.500 0.000 0.105
6 La 0.500 0.000 0.605
7 La 0.605 0.500 0.000
8 La 0.895 0.895 0.895
9 C 0.048 0.798 0.250
10 C 0.202 0.952 0.250
11 C 0.250 0.048 0.798
12 C 0.250 0.202 0.952
13 C 0.298 0.548 0.750
14 C 0.452 0.702 0.750
15 C 0.548 0.750 0.298
16 C 0.702 0.750 0.452
17 C 0.750 0.298 0.548
18 C 0.750 0.452 0.702
19 C 0.798 0.250 0.048
20 C 0.952 0.250 0.202

Calculated values
* crystal system: cubic
* formation energy: -283 meV/atom
* magnetic moment: 0.0 μB per cell

Record 4
Material: KTe2O
Method: DFT, SCAN
State: single point on PBEsol structure

Lattice parameters (Å, degrees): 10.085 10.085 10.085 19.29 19.29 19.29
Fractional positions:
1 K 0.000 0.000 0.000
2 Te 0.110 0.110 0.110
3 Te 0.890 0.890 0.890
4 O 0.500 0.500 0.500

Calculated values
* crystal system: trigonal
* magnetic moment: 0.0 μB per cell
* DFT total energy: -88.01 eV per cell

Record 5
Material: BaCa2Pd2
Method: DFT, SCAN
State: single point on PBEsol structure

Lattice parameters (Å, degrees): 8.035 8.035 4.145 90.00 90.00 90.00
Fractional positions:
1 Ba 0.000 0.000 0.000
2 Ba 0.500 0.500 0.000
3 Ca 0.153 0.347 0.500
4 Ca 0.347 0.847 0.500
5 Ca 0.653 0.153 0.500
6 Ca 0.847 0.653 0.500
7 Pd 0.124 0.624 0.000
8 Pd 0.376 0.124 0.000
9 Pd 0.624 0.876 0.000
10 Pd 0.876 0.376 0.000

Calculated values
* crystal system: tetragonal
* E above lowest polymorph: 0.20 eV/f.u.
* formation energy: -498 meV/atom
* magnetic moment: 0.0 μB per cell

Record 6
Material: TlTeBr2
Method: DFT, SCAN
State: single point on PBEsol structure

Lattice parameters (Å, degrees): 5.453 5.453 5.453 60.00 60.00 60.00
Fractional positions:
1 Tl 0.000 0.000 0.000
2 Te 0.500 0.500 0.500
3 Br 0.250 0.250 0.250
4 Br 0.750 0.750 0.750

Calculated values
* crystal system: cubic
* E above lowest polymorph: 0.71 eV/f.u.
* magnetic moment: 2.6 μB per cell

Record 7
Material: CuPbSe2
Method: DFT, SCAN
State: single point on PBEsol structure

Lattice parameters (Å, degrees): 6.784 6.784 6.784 33.51 33.51 33.51
Fractional positions:
1 Cu 0.000 0.000 0.000
2 Pb 0.500 0.500 0.500
3 Se 0.267 0.267 0.267
4 Se 0.733 0.733 0.733

Calculated values
* crystal system: trigonal
* magnetic moment: 0.0 μB per cell
* DFT total energy: -132.02 eV per cell

Record 8
Material: HgRuPb2
Method: DFT, SCAN
State: single point on PBEsol structure

Lattice parameters (Å, degrees): 9.718 9.718 9.718 19.82 19.82 19.82
Fractional positions:
1 Hg 0.000 0.000 0.000
2 Ru 0.500 0.500 0.500
3 Pb 0.237 0.237 0.237
4 Pb 0.763 0.763 0.763

Calculated values
* crystal system: trigonal
* formation energy: 316 meV/atom
* magnetic moment: 0.0 μB per cell